{
  "formula": "Ba2GdSe",
  "functional": "PBE",
  "state": "optimized geometry",
  "cell": [[4.2457, 0.0000, 0.0000], [2.1229, 3.6769, 0.0000], [2.1229, 1.2256, 11.7174]],
  "species": ["Gd", "Ba", "Ba", "Se"],
  "fractional_positions": [[0.0000, 0.0000, 0.0000], [0.8915, 0.8915, 0.3256], [0.1085, 0.1085, 0.6744], [0.5000, 0.5000, 0.5000]],
  "sg": "R-3m, No. 166",
  "dft_energy_ev_per_atom": -5.925,
  "volume_a3_per_atom": 45.7,
  "density_g_cm3": 4.6,
  "formation_energy_uncorrected_ev_per_atom": -0.57
}